Record 1
# TbGaO3

TbGaO3 at its PBEsol-relaxed geometry (meta-GGA SCAN, the Alexandria database).

**DOS at the Fermi energy**: 0.000 states/eV/atom
**Total energy**: -387.452 eV for the cell shown
**Raw formation energy**: -291 kJ/mol of atoms

Cell lengths 5.2533, 5.5471, 7.5453 Å; angles 90.00, 90.00, 90.00 degrees
Fractional coordinates of all 20 atoms:
Tb1 0.0195 0.0686 0.7500
Tb2 0.4805 0.5686 0.7500
Tb3 0.5195 0.4314 0.2500
Tb4 0.9805 0.9314 0.2500
Ga1 0.0000 0.5000 0.5000
Ga2 0.5000 0.0000 0.5000
Ga3 0.5000 0.0000 0.0000
Ga4 0.0000 0.5000 0.0000
O1 0.1065 0.5340 0.2500
O2 0.1952 0.8032 0.5545
O3 0.1952 0.8032 0.9455
O4 0.3048 0.3032 0.9455
O5 0.3048 0.3032 0.5545
O6 0.3935 0.0340 0.2500
O7 0.6065 0.9660 0.7500
O8 0.6952 0.6968 0.0545
O9 0.6952 0.6968 0.4455
O10 0.8048 0.1968 0.4455
O11 0.8048 0.1968 0.0545
O12 0.8935 0.4660 0.7500

=====

Record 2
# PdW2IN

PdW2IN at its PBEsol-relaxed geometry (meta-GGA SCAN, the Alexandria database).

**DOS at the Fermi energy**: 0.884 states/eV/atom
**Total energy**: -203.158 eV for the cell shown
**Raw formation energy**: 290 kJ/mol of atoms

Cell lengths 3.8653, 4.9384, 4.9384 Å; angles 90.00, 90.00, 90.00 degrees
Site moments in Bohr magnetons follow the coordinates.
Fractional coordinates of all 5 atoms:
I1 0.0000 0.0000 0.0000  -0.02
Pd1 0.5000 0.5000 0.5000  0.11
W1 0.0000 0.0000 0.5000  0.97
W2 0.0000 0.5000 0.0000  0.97
N1 0.5000 0.0000 0.0000  -0.04

=====

Record 3
# MnCuAu3

MnCuAu3 at its PBEsol-relaxed geometry (meta-GGA SCAN, the Alexandria database).

**DOS at the Fermi energy**: 0.295 states/eV/atom
**Total energy**: -236.854 eV for the cell shown
**Energy relative to the elements**: 0.81 eV per atom

Cell lengths 4.7630, 4.7630, 4.7630 Å; angles 90.00, 90.00, 90.00 degrees
Site moments in Bohr magnetons follow the coordinates.
Fractional coordinates of all 5 atoms:
Mn1 0.0000 0.0000 0.0000  4.01
Au1 0.0000 0.5000 0.0000  0.12
Au2 0.0000 0.0000 0.5000  0.12
Au3 0.5000 0.0000 0.0000  0.12
Cu1 0.5000 0.5000 0.5000  -0.01

=====

Record 4
# CaBrOF2

CaBrOF2 at its PBEsol-relaxed geometry (meta-GGA SCAN, the Alexandria database).

**DOS at the Fermi energy**: 0.082 states/eV/atom
**Total energy**: -50.905 eV for the cell shown
**Raw formation energy**: -163 kJ/mol of atoms

Cell lengths 4.3101, 4.3101, 4.8163 Å; angles 90.00, 90.00, 90.00 degrees
Site moments in Bohr magnetons follow the coordinates.
Fractional coordinates of all 5 atoms:
Ca1 0.0000 0.0000 0.0000  -0.01
O1 0.0000 0.0000 0.5000  1.32
Br1 0.5000 0.5000 0.5000  0.90
F1 0.0000 0.5000 0.0000  0.11
F2 0.5000 0.0000 0.0000  0.11

=====

Record 5
# Na9Sn4

Na9Sn4 at its PBEsol-relaxed geometry (meta-GGA SCAN, the Alexandria database).

**DOS at the Fermi energy**: 0.281 states/eV/atom
**Total energy**: -369.330 eV for the cell shown
**Energy relative to the elements**: -0.23 eV per atom

Cell lengths 5.3549, 5.3549, 28.8575 Å; angles 90.00, 90.00, 120.00 degrees
Fractional coordinates of all 26 atoms:
Na1 0.3333 0.6667 0.7500
Na2 0.6667 0.3333 0.2500
Na3 0.6667 0.3333 0.9075
Na4 0.3333 0.6667 0.0925
Na5 0.3333 0.6667 0.4075
Na6 0.6667 0.3333 0.5925
Na7 0.0000 0.0000 0.6801
Na8 0.0000 0.0000 0.3199
Na9 0.0000 0.0000 0.1801
Na10 0.0000 0.0000 0.8199
Na11 0.6667 0.3333 0.1342
Na12 0.3333 0.6667 0.8658
Na13 0.3333 0.6667 0.6342
Na14 0.6667 0.3333 0.3658
Na15 0.6667 0.3333 0.0184
Na16 0.3333 0.6667 0.9816
Na17 0.3333 0.6667 0.5184
Na18 0.6667 0.3333 0.4816
Sn1 0.6667 0.3333 0.7014
Sn2 0.3333 0.6667 0.2986
Sn3 0.3333 0.6667 0.2014
Sn4 0.6667 0.3333 0.7986
Sn5 0.0000 0.0000 0.5512
Sn6 0.0000 0.0000 0.4488
Sn7 0.0000 0.0000 0.0512
Sn8 0.0000 0.0000 0.9488

=====

Record 6
# Nd3Dy

Nd3Dy at its PBEsol-relaxed geometry (meta-GGA SCAN, the Alexandria database).

**DOS at the Fermi energy**: 1.517 states/eV/atom
**Total energy**: -356.863 eV for the cell shown
**Polymorph energy (0 for the lowest one)**: 14.2 meV/atom
**Energy relative to the elements**: 0.03 eV per atom

Cell lengths 5.7818, 7.1842, 7.1842 Å; angles 120.00, 90.00, 90.00 degrees
Fractional coordinates of all 8 atoms:
Nd1 0.2500 0.6660 0.8330
Nd2 0.2500 0.1670 0.3340
Nd3 0.2500 0.1670 0.8330
Nd4 0.7500 0.3340 0.1670
Nd5 0.7500 0.8330 0.6660
Nd6 0.7500 0.8330 0.1670
Dy1 0.7500 0.3333 0.6667
Dy2 0.2500 0.6667 0.3333